1.
Compound: Pa2Mn17C2
Source: the Alexandria database
Functional: PBE
Structure: relaxed

Cell: 6.3709 6.3709 6.3896 Å, 96.16 96.16 84.14°
Positions (direct):
Pa 0.1491 0.1491 0.3397
Pa 0.8509 0.8509 0.6603
Mn 0.0000 0.5000 0.0000
Mn 0.1467 0.1467 0.8656
Mn 0.1574 0.6470 0.3436
Mn 0.2224 0.4945 0.7248
Mn 0.2302 0.7698 0.0000
Mn 0.3530 0.8426 0.6564
Mn 0.4033 0.4033 0.1007
Mn 0.4945 0.2224 0.7248
Mn 0.5000 0.0000 0.0000
Mn 0.5000 0.5000 0.5000
Mn 0.5055 0.7776 0.2752
Mn 0.5967 0.5967 0.8993
Mn 0.6470 0.1574 0.3436
Mn 0.7698 0.2302 0.0000
Mn 0.7776 0.5055 0.2752
Mn 0.8426 0.3530 0.6564
Mn 0.8533 0.8533 0.1344
C 0.0000 0.5000 0.5000
C 0.5000 0.0000 0.5000

Summary:
SG: No. 12
Crystal system: monoclinic
Energy of formation in meV per atom: -76
D(E_F) in states/eV/f.u.: 25.020

=====

2.
Compound: Pa2Mn2C3
Source: the Alexandria database
Functional: PBE
Structure: relaxed

Cell: 6.0084 6.0084 5.3557 Å, 114.81 114.81 30.95°
Positions (direct):
Pa 0.0967 0.0967 0.2919
Pa 0.9033 0.9033 0.7081
Mn 0.3363 0.3363 0.1694
Mn 0.6637 0.6637 0.8306
C 0.2474 0.2474 0.7642
C 0.5000 0.5000 0.5000
C 0.7526 0.7526 0.2358

Summary:
SG: No. 12
Crystal system: monoclinic
Energy of formation in meV per atom: -323
D(E_F) in states/eV/f.u.: 6.214

=====

3.
Compound: Pa2Mn17C3
Source: the Alexandria database
Functional: PBE
Structure: relaxed

Cell: 6.4185 6.4185 6.4185 Å, 83.45 83.45 83.45°
Positions (direct):
Pa 0.1519 0.1519 0.1519
Pa 0.8481 0.8481 0.8481
Mn 0.0000 0.5000 0.5000
Mn 0.1541 0.1541 0.6431
Mn 0.1541 0.6431 0.1541
Mn 0.2262 0.5000 0.7738
Mn 0.2262 0.7738 0.5000
Mn 0.3569 0.8459 0.8459
Mn 0.4031 0.4031 0.4031
Mn 0.5000 0.0000 0.5000
Mn 0.5000 0.2262 0.7738
Mn 0.5000 0.5000 0.0000
Mn 0.5000 0.7738 0.2262
Mn 0.5969 0.5969 0.5969
Mn 0.6431 0.1541 0.1541
Mn 0.7738 0.2262 0.5000
Mn 0.7738 0.5000 0.2262
Mn 0.8459 0.3569 0.8459
Mn 0.8459 0.8459 0.3569
C 0.0000 0.0000 0.5000
C 0.0000 0.5000 0.0000
C 0.5000 0.0000 0.0000

Summary:
SG: No. 166
Crystal system: trigonal
Energy of formation in meV per atom: -108
D(E_F) in states/eV/f.u.: 23.096

=====

4.
Compound: PaMn2C3
Source: the Alexandria database
Functional: PBE
Structure: relaxed

Cell: 5.8246 5.8246 4.7948 Å, 90.00 90.00 123.66°
Positions (direct):
Pa 0.2352 0.7648 0.7500
Pa 0.7648 0.2352 0.2500
Mn 0.2687 0.2687 0.0000
Mn 0.2687 0.2687 0.5000
Mn 0.7313 0.7313 0.0000
Mn 0.7313 0.7313 0.5000
C 0.0080 0.7322 0.2500
C 0.2678 0.9920 0.2500
C 0.4158 0.5842 0.2500
C 0.5842 0.4158 0.7500
C 0.7322 0.0080 0.7500
C 0.9920 0.2678 0.7500

Summary:
SG: No. 63
Crystal system: orthorhombic
Energy of formation in meV per atom: 16
D(E_F) in states/eV/f.u.: 4.548

=====

5.
Compound: PaMnC2
Source: the Alexandria database
Functional: PBE
Structure: relaxed

Cell: 5.5455 3.3193 10.5300 Å, 90.00 90.00 90.00°
Positions (direct):
Pa 0.0820 0.2500 0.1431
Pa 0.4180 0.7500 0.6431
Pa 0.5820 0.2500 0.3569
Pa 0.9180 0.7500 0.8569
Mn 0.0803 0.7500 0.4043
Mn 0.4197 0.2500 0.9043
Mn 0.5803 0.7500 0.0957
Mn 0.9197 0.2500 0.5957
C 0.1634 0.2500 0.7519
C 0.2133 0.2500 0.4853
C 0.2867 0.7500 0.9853
C 0.3366 0.7500 0.2519
C 0.6634 0.2500 0.7481
C 0.7133 0.2500 0.0147
C 0.7867 0.7500 0.5147
C 0.8366 0.7500 0.2481

Summary:
SG: No. 62
Crystal system: orthorhombic
Energy of formation in meV per atom: -217
D(E_F) in states/eV/f.u.: 2.605
Distance to the lowest polymorph of the same formula in eV/f.u.: 0.000

=====

6.
Compound: Pa2MnC
Source: the Alexandria database
Functional: PBE
Structure: relaxed

Cell: 8.0310 8.0310 8.0310 Å, 23.61 23.61 23.61°
Positions (direct):
Pa 0.1008 0.1008 0.1008
Pa 0.8992 0.8992 0.8992
Mn 0.0000 0.0000 0.0000
C 0.5000 0.5000 0.5000

Summary:
SG: No. 166
Crystal system: trigonal
Energy of formation in meV per atom: 184
D(E_F) in states/eV/f.u.: 4.686

=====

7.
Compound: PaMnC2
Source: the Alexandria database
Functional: PBE
Structure: relaxed

Cell: 5.3955 5.3955 5.3955 Å, 35.91 35.91 35.91°
Positions (direct):
Pa 0.0000 0.0000 0.0000
Mn 0.5000 0.5000 0.5000
C 0.2327 0.2327 0.2327
C 0.7673 0.7673 0.7673

Summary:
SG: No. 166
Crystal system: trigonal
Energy of formation in meV per atom: -51
D(E_F) in states/eV/f.u.: 1.629
Distance to the lowest polymorph of the same formula in eV/f.u.: 0.666

=====

8.
Compound: PmPa2MnC4
Source: the Alexandria database
Functional: PBE
Structure: relaxed

Cell: 6.0764 6.0764 11.9936 Å, 90.00 90.00 145.88°
Positions (direct):
Pm 0.1073 0.8927 0.7500
Pm 0.8927 0.1073 0.2500
Pa 0.3666 0.6334 0.5480
Pa 0.3666 0.6334 0.9520
Pa 0.6334 0.3666 0.0480
Pa 0.6334 0.3666 0.4520
Mn 0.1618 0.8382 0.2500
Mn 0.8382 0.1618 0.7500
C 0.0000 0.0000 0.0000
C 0.0000 0.0000 0.5000
C 0.2604 0.7396 0.1279
C 0.2604 0.7396 0.3721
C 0.4065 0.5935 0.7500
C 0.5935 0.4065 0.2500
C 0.7396 0.2604 0.6279
C 0.7396 0.2604 0.8721

Summary:
SG: No. 63
Crystal system: orthorhombic
Energy of formation in meV per atom: -190
D(E_F) in states/eV/f.u.: 7.717

=====

9.
Compound: ScPa2MnC4
Source: the Alexandria database
Functional: PBE
Structure: relaxed

Cell: 5.9283 5.9283 11.8413 Å, 90.00 90.00 145.85°
Positions (direct):
Sc 0.1300 0.8700 0.7500
Sc 0.8700 0.1300 0.2500
Pa 0.3658 0.6342 0.5458
Pa 0.3658 0.6342 0.9542
Pa 0.6342 0.3658 0.0458
Pa 0.6342 0.3658 0.4542
Mn 0.1483 0.8517 0.2500
Mn 0.8517 0.1483 0.7500
C 0.0000 0.0000 0.0000
C 0.0000 0.0000 0.5000
C 0.2663 0.7337 0.1362
C 0.2663 0.7337 0.3638
C 0.4187 0.5813 0.7500
C 0.5813 0.4187 0.2500
C 0.7337 0.2663 0.6362
C 0.7337 0.2663 0.8638

Summary:
SG: No. 63
Crystal system: orthorhombic
Energy of formation in meV per atom: -79
D(E_F) in states/eV/f.u.: 6.289

=====

10.
Compound: PaMn2SiC
Source: the Alexandria database
Functional: PBE
Structure: relaxed

Cell: 5.6601 5.6601 6.9646 Å, 90.00 90.00 141.95°
Positions (direct):
Pa 0.0492 0.9508 0.7500
Pa 0.9508 0.0492 0.2500
Mn 0.3317 0.6683 0.5583
Mn 0.3317 0.6683 0.9417
Mn 0.6683 0.3317 0.0583
Mn 0.6683 0.3317 0.4417
Si 0.2311 0.7689 0.2500
Si 0.7689 0.2311 0.7500
C 0.5000 0.5000 0.0000
C 0.5000 0.5000 0.5000

Summary:
SG: No. 63
Formation energy from raw total energies in kJ per mole of atoms: -46.11
Crystal system: orthorhombic
D(E_F) in states/eV/f.u.: 5.364

=====

11.
Compound: Pa2MnSiC
Source: the Alexandria database
Functional: PBE
Structure: relaxed

Cell: 6.5811 3.7343 7.8063 Å, 90.00 111.62 90.00°
Positions (direct):
Pa 0.1857 0.2500 0.4183
Pa 0.2390 0.7500 0.0118
Pa 0.7610 0.2500 0.9882
Pa 0.8143 0.7500 0.5817
Mn 0.2226 0.2500 0.7144
Mn 0.7774 0.7500 0.2856
Si 0.4486 0.7500 0.7241
Si 0.5514 0.2500 0.2759
C 0.0154 0.7500 0.1878
C 0.9846 0.2500 0.8122

Summary:
SG: No. 11
Formation energy from raw total energies in kJ per mole of atoms: -40.77
Crystal system: monoclinic
D(E_F) in states/eV/f.u.: 2.850

=====

12.
Compound: SmPa2MnC4
Source: the Alexandria database
Functional: PBE
Structure: relaxed

Cell: 6.0576 6.0576 11.9901 Å, 90.00 90.00 145.82°
Positions (direct):
Sm 0.1083 0.8917 0.7500
Sm 0.8917 0.1083 0.2500
Pa 0.3666 0.6334 0.5480
Pa 0.3666 0.6334 0.9520
Pa 0.6334 0.3666 0.0480
Pa 0.6334 0.3666 0.4520
Mn 0.1612 0.8388 0.2500
Mn 0.8388 0.1612 0.7500
C 0.0000 0.0000 0.0000
C 0.0000 0.0000 0.5000
C 0.2611 0.7389 0.1285
C 0.2611 0.7389 0.3715
C 0.4075 0.5925 0.7500
C 0.5925 0.4075 0.2500
C 0.7389 0.2611 0.6285
C 0.7389 0.2611 0.8715

Summary:
SG: No. 63
Crystal system: orthorhombic
Energy of formation in meV per atom: -187
D(E_F) in states/eV/f.u.: 7.652

=====

13.
Compound: Pa2MnSnC
Source: the Alexandria database
Functional: PBE
Structure: relaxed

Cell: 7.3632 3.6219 7.8707 Å, 90.00 108.62 90.00°
Positions (direct):
Pa 0.1528 0.2500 0.4086
Pa 0.2075 0.7500 0.9975
Pa 0.7925 0.2500 0.0025
Pa 0.8472 0.7500 0.5914
Mn 0.1938 0.2500 0.6994
Mn 0.8062 0.7500 0.3006
Sn 0.4686 0.7500 0.7224
Sn 0.5314 0.2500 0.2776
C 0.0141 0.7500 0.1848
C 0.9859 0.2500 0.8152

Summary:
SG: No. 11
Crystal system: monoclinic
Energy of formation in meV per atom: -286
D(E_F) in states/eV/f.u.: 4.253

=====

14.
Compound: Tb2PaMnC4
Source: the Alexandria database
Functional: PBE
Structure: relaxed

Cell: 5.9988 5.9988 12.0045 Å, 90.00 90.00 146.62°
Positions (direct):
Tb 0.1332 0.8668 0.5456
Tb 0.1332 0.8668 0.9544
Tb 0.8668 0.1332 0.0456
Tb 0.8668 0.1332 0.4544
Pa 0.4118 0.5882 0.7500
Pa 0.5882 0.4118 0.2500
Mn 0.3275 0.6725 0.2500
Mn 0.6725 0.3275 0.7500
C 0.0761 0.9239 0.7500
C 0.2246 0.7754 0.1405
C 0.2246 0.7754 0.3595
C 0.5000 0.5000 0.0000
C 0.5000 0.5000 0.5000
C 0.7754 0.2246 0.6405
C 0.7754 0.2246 0.8595
C 0.9239 0.0761 0.2500

Summary:
SG: No. 63
Crystal system: orthorhombic
Energy of formation in meV per atom: -45
D(E_F) in states/eV/f.u.: 4.068

=====

15.
Compound: TbPaMnC3
Source: the Alexandria database
Functional: PBE
Structure: relaxed

Cell: 7.2743 3.5148 7.3127 Å, 90.00 93.83 90.00°
Positions (direct):
Tb 0.1776 0.2500 0.1519
Tb 0.8224 0.7500 0.8481
Pa 0.1833 0.2500 0.6295
Pa 0.8167 0.7500 0.3705
Mn 0.4129 0.7500 0.9104
Mn 0.5871 0.2500 0.0896
C 0.1358 0.7500 0.4062
C 0.1620 0.7500 0.8736
C 0.4863 0.2500 0.8461
C 0.5137 0.7500 0.1539
C 0.8380 0.2500 0.1264
C 0.8642 0.2500 0.5938

Summary:
SG: No. 11
Crystal system: monoclinic
Energy of formation in meV per atom: -161
D(E_F) in states/eV/f.u.: 3.171

=====

16.
Compound: Th2PaMnC4
Source: the Alexandria database
Functional: PBE
Structure: relaxed

Cell: 6.1031 6.1031 12.4315 Å, 90.00 90.00 146.38°
Positions (direct):
Th 0.1370 0.8630 0.5472
Th 0.1370 0.8630 0.9528
Th 0.8630 0.1370 0.0472
Th 0.8630 0.1370 0.4528
Pa 0.4057 0.5943 0.7500
Pa 0.5943 0.4057 0.2500
Mn 0.3306 0.6694 0.2500
Mn 0.6694 0.3306 0.7500
C 0.0706 0.9294 0.7500
C 0.2189 0.7811 0.1455
C 0.2189 0.7811 0.3545
C 0.5000 0.5000 0.0000
C 0.5000 0.5000 0.5000
C 0.7811 0.2189 0.6455
C 0.7811 0.2189 0.8545
C 0.9294 0.0706 0.2500

Summary:
SG: No. 63
Crystal system: orthorhombic
Energy of formation in meV per atom: -27
D(E_F) in states/eV/f.u.: 5.449

=====

17.
Compound: ThPa2MnC4
Source: the Alexandria database
Functional: PBE
Structure: relaxed

Cell: 6.0803 6.0803 11.9102 Å, 90.00 90.00 145.95°
Positions (direct):
Th 0.1009 0.8991 0.7500
Th 0.8991 0.1009 0.2500
Pa 0.3657 0.6343 0.5487
Pa 0.3657 0.6343 0.9513
Pa 0.6343 0.3657 0.0487
Pa 0.6343 0.3657 0.4513
Mn 0.1606 0.8394 0.2500
Mn 0.8394 0.1606 0.7500
C 0.0000 0.0000 0.0000
C 0.0000 0.0000 0.5000
C 0.2637 0.7363 0.1303
C 0.2637 0.7363 0.3697
C 0.4188 0.5812 0.7500
C 0.5812 0.4188 0.2500
C 0.7363 0.2637 0.6303
C 0.7363 0.2637 0.8697

Summary:
SG: No. 63
Crystal system: orthorhombic
Energy of formation in meV per atom: -249
D(E_F) in states/eV/f.u.: 7.195

=====

18.
Compound: ThPaMnC3
Source: the Alexandria database
Functional: PBE
Structure: relaxed

Cell: 7.3100 3.5498 7.4760 Å, 90.00 92.14 90.00°
Positions (direct):
Th 0.1972 0.2500 0.1265
Th 0.8028 0.7500 0.8735
Pa 0.1699 0.2500 0.6487
Pa 0.8301 0.7500 0.3513
Mn 0.4168 0.7500 0.4141
Mn 0.5832 0.2500 0.5859
C 0.1403 0.7500 0.8606
C 0.1564 0.7500 0.3842
C 0.4826 0.2500 0.3519
C 0.5174 0.7500 0.6481
C 0.8436 0.2500 0.6158
C 0.8597 0.2500 0.1394

Summary:
SG: No. 11
Crystal system: monoclinic
Energy of formation in meV per atom: -157
D(E_F) in states/eV/f.u.: 4.309

=====

19.
Compound: TmPa2MnC4
Source: the Alexandria database
Functional: PBE
Structure: relaxed

Cell: 5.9465 5.9465 11.9353 Å, 90.00 90.00 145.56°
Positions (direct):
Tm 0.1152 0.8848 0.7500
Tm 0.8848 0.1152 0.2500
Pa 0.3658 0.6342 0.5473
Pa 0.3658 0.6342 0.9527
Pa 0.6342 0.3658 0.0473
Pa 0.6342 0.3658 0.4527
Mn 0.1551 0.8449 0.2500
Mn 0.8449 0.1551 0.7500
C 0.0000 0.0000 0.0000
C 0.0000 0.0000 0.5000
C 0.2655 0.7345 0.1329
C 0.2655 0.7345 0.3671
C 0.4160 0.5840 0.7500
C 0.5840 0.4160 0.2500
C 0.7345 0.2655 0.6329
C 0.7345 0.2655 0.8671

Summary:
SG: No. 63
Crystal system: orthorhombic
Energy of formation in meV per atom: -159
D(E_F) in states/eV/f.u.: 7.394